Entry 1:
Density functional theory data (PBE-GGA) for YZn2NiOs after structural relaxation.

Calculated values
- DOS(E_F): 5.6 states/eV/cell
- ΔH_f (0 K): 9.7 eV per formula unit

The structure in CIF format:
```
data_YZn2NiOs
_cell_length_a 5.2926
_cell_length_b 5.2926
_cell_length_c 4.9434
_cell_angle_alpha 90.00
_cell_angle_beta 90.00
_cell_angle_gamma 90.00
_space_group_name_H-M_alt 'P 4/m m m'
_space_group_IT_number 123
_space_group_name_Hall '-P 4 2'
loop_
_atom_site_label
_atom_site_type_symbol
_atom_site_fract_x
_atom_site_fract_y
_atom_site_fract_z
_atom_site_occupancy
Y1 Y 0.0000 0.0000 0.0000 1
Zn1 Zn 0.0000 0.5000 0.0000 1
Ni1 Ni 0.5000 0.5000 0.5000 1
Os1 Os 0.0000 0.0000 0.5000 1
```

=====

Entry 2:
Density functional theory data (PBE-GGA) for YZrNiOs after structural relaxation.

Calculated values
- DOS(E_F): 8.7 states/eV/cell
- ΔH_f (0 K): -1.3 eV per formula unit

The structure in CIF format:
```
data_YZrNiOs
_cell_length_a 6.6616
_cell_length_b 6.6616
_cell_length_c 6.6616
_cell_angle_alpha 90.00
_cell_angle_beta 90.00
_cell_angle_gamma 90.00
_space_group_name_H-M_alt 'F -4 3 m'
_space_group_IT_number 216
_space_group_name_Hall 'F -4 2 3'
loop_
_atom_site_label
_atom_site_type_symbol
_atom_site_fract_x
_atom_site_fract_y
_atom_site_fract_z
_atom_site_occupancy
Y1 Y 0.0000 0.0000 0.0000 1
Zr1 Zr 0.0000 0.0000 0.5000 1
Ni1 Ni 0.2500 0.2500 0.2500 1
Os1 Os 0.2500 0.2500 0.7500 1
```

=====

Entry 3:
Density functional theory data (PBE-GGA) for ZnNi2Os after structural relaxation.

Calculated values
- DOS(E_F): 9.3 states/eV/cell
- ΔH_f (0 K): 0.1 eV per formula unit

The structure in CIF format:
```
data_ZnNi2Os
_cell_length_a 5.2361
_cell_length_b 7.3364
_cell_length_c 2.5897
_cell_angle_alpha 90.00
_cell_angle_beta 90.00
_cell_angle_gamma 90.00
_space_group_name_H-M_alt 'C m m m'
_space_group_IT_number 65
_space_group_name_Hall '-C 2 2'
loop_
_atom_site_label
_atom_site_type_symbol
_atom_site_fract_x
_atom_site_fract_y
_atom_site_fract_z
_atom_site_occupancy
Zn1 Zn 0.0000 0.0000 0.0000 1
Ni1 Ni 0.2500 0.2500 0.5000 1
Os1 Os 0.0000 0.5000 0.0000 1
```

=====

Entry 4:
Density functional theory data (PBE-GGA) for Zn3NiOs after structural relaxation.

Calculated values
- DOS(E_F): 4.4 states/eV/cell
- ΔH_f (0 K): 5.6 eV per formula unit

The structure in CIF format:
```
data_Zn3NiOs
_cell_length_a 4.7475
_cell_length_b 4.7475
_cell_length_c 4.7475
_cell_angle_alpha 90.00
_cell_angle_beta 90.00
_cell_angle_gamma 90.00
_space_group_name_H-M_alt 'P m -3 m'
_space_group_IT_number 221
_space_group_name_Hall '-P 4 2 3'
loop_
_atom_site_label
_atom_site_type_symbol
_atom_site_fract_x
_atom_site_fract_y
_atom_site_fract_z
_atom_site_occupancy
Zn1 Zn 0.0000 0.0000 0.5000 1
Ni1 Ni 0.5000 0.5000 0.5000 1
Os1 Os 0.0000 0.0000 0.0000 1
```